No. 1
This record from OQMD describes a relaxed CoHgPb2 crystal. The functional is PBE-GGA.

Calculated values
The calculation puts the mass density at 11.63 g/cm³. As for the total magnetization: 1.56 μB/f.u. The calculation puts the total energy at -3.099 eV/atom.

Lattice parameters (Å, degrees): 5.1434 5.1434 5.1434 60.00 60.00 60.00
With the nearest neighbours (Å) after each atom.
Element x y z (fractional)
Co 0.0000 0.0000 0.0000  4 Pb 3.15, 4 Hg 3.15
Hg 0.2500 0.2500 0.2500  4 Pb 3.15, 4 Co 3.15
Pb 0.5000 0.5000 0.5000  4 Hg 3.15, 4 Pb 3.15
Pb 0.7500 0.7500 0.7500  4 Pb 3.15, 4 Co 3.15

No. 2
This record from OQMD describes a relaxed PuAg2S3 crystal. The functional is PBE-GGA.

Calculated values
The calculation puts the mass density at 5.99 g/cm³. As for the total magnetization: 4.01 μB/f.u. The calculation puts the total energy at -5.921 eV/atom.

Lattice parameters (Å, degrees): 7.1762 7.1762 7.3045 100.20 100.20 119.05
With the nearest neighbours (Å) after each atom.
Element x y z (fractional)
Pu 0.0882 0.9118 0.5000  4 S 2.57-2.64
Pu 0.9118 0.0882 0.0000  4 S 2.57-2.64
Ag 0.2560 0.7812 0.0263  4 S 2.51-2.56
Ag 0.4615 0.6227 0.5336  4 S 2.49-2.65
Ag 0.6227 0.4615 0.0336  4 S 2.49-2.65
Ag 0.7812 0.2560 0.5263  4 S 2.51-2.56
S 0.0739 0.2337 0.3840  2 Ag 2.56-2.65, 2 Pu 2.63-2.64
S 0.2337 0.0739 0.8840  2 Ag 2.56-2.65, 2 Pu 2.63-2.64
S 0.4022 0.8927 0.3920  3 Ag 2.51-2.53, 1 Pu 2.57
S 0.5315 0.7136 0.8942  3 Ag 2.49-2.55, 1 Pu 2.58
S 0.7136 0.5315 0.3942  3 Ag 2.49-2.55, 1 Pu 2.58
S 0.8927 0.4022 0.8920  3 Ag 2.51-2.53, 1 Pu 2.57

No. 3
This record from OQMD describes a relaxed Ho3PN2 crystal. The functional is PBE-GGA.

Calculated values
The calculation puts the mass density at 9.20 g/cm³. As for the total magnetization: 0.00 μB/f.u. The calculation puts the total energy at -7.537 eV/atom.

Lattice parameters (Å, degrees): 3.5724 3.5724 9.0409 90.00 90.00 120.00
With the nearest neighbours (Å) after each atom.
Element x y z (fractional)
Ho 0.0000 0.0000 0.0000  6 N 2.48
Ho 0.3333 0.6667 0.3021  3 N 2.47, 3 P 2.73
Ho 0.6667 0.3333 0.6979  3 N 2.47, 3 P 2.73
P 0.0000 0.0000 0.5000  6 Ho 2.73
N 0.3333 0.6667 0.8473  6 Ho 2.47-2.48
N 0.6667 0.3333 0.1527  6 Ho 2.47-2.48

No. 4
This record from OQMD describes a relaxed Gd2Nb2Mo crystal. The functional is PBE-GGA.

Calculated values
The calculation puts the mass density at 7.70 g/cm³. As for the total magnetization: 0.01 μB/f.u. The calculation puts the total energy at -7.734 eV/atom.

Lattice parameters (Å, degrees): 4.4117 4.4117 7.6302 90.00 90.00 120.00
With the nearest neighbours (Å) after each atom.
Element x y z (fractional)
Gd 0.3333 0.6667 0.1649  4 Nb 3.11-3.33
Gd 0.6667 0.3333 0.8351  4 Nb 3.11-3.33
Nb 0.3333 0.6667 0.6017  3 Mo 2.66
Nb 0.6667 0.3333 0.3983  3 Mo 2.66
Mo 0.0000 0.0000 0.5000  6 Nb 2.66

No. 5
This record from OQMD describes a relaxed Hg2SbIr crystal. The functional is PBE-GGA.

Calculated values
The calculation puts the mass density at 14.27 g/cm³. As for the total magnetization: 0.00 μB/f.u. The calculation puts the total energy at -2.884 eV/atom.

Lattice parameters (Å, degrees): 4.9001 4.9001 4.9001 60.00 60.00 60.00
With the nearest neighbours (Å) after each atom.
Element x y z (fractional)
Hg 0.0000 0.0000 0.0000  4 Ir 3.00, 4 Hg 3.00
Hg 0.2500 0.2500 0.2500  4 Hg 3.00, 4 Sb 3.00
Sb 0.5000 0.5000 0.5000  4 Ir 3.00, 4 Hg 3.00
Ir 0.7500 0.7500 0.7500  4 Hg 3.00, 4 Sb 3.00

No. 6
This record from OQMD describes a relaxed LuMgSn2 crystal. The functional is PBE-GGA.

Calculated values
The calculation puts the mass density at 7.07 g/cm³. As for the total magnetization: 0.00 μB/f.u. The calculation puts the total energy at -3.605 eV/atom.

Lattice parameters (Å, degrees): 5.2550 5.2550 5.2550 60.00 60.00 60.00
With the nearest neighbours (Å) after each atom.
Element x y z (fractional)
Lu 0.0000 0.0000 0.0000  4 Sn 3.22, 4 Mg 3.22
Mg 0.7500 0.7500 0.7500  4 Sn 3.22, 4 Lu 3.22
Sn 0.2500 0.2500 0.2500  4 Sn 3.22, 4 Lu 3.22
Sn 0.5000 0.5000 0.5000  4 Sn 3.22, 4 Mg 3.22

No. 7
This record from OQMD describes a relaxed PmTeAu crystal. The functional is PBE-GGA.

Calculated values
The calculation puts the distance to the lowest polymorph of the same formula at 0.153 eV/atom. The calculation puts the mass density at 8.98 g/cm³. As for the total magnetization: 0.00 μB/f.u. The calculation puts the total energy at -4.470 eV/atom.

Lattice parameters (Å, degrees): 4.9711 4.9711 4.9711 60.00 60.00 60.00
With the nearest neighbours (Å) after each atom.
Element x y z (fractional)
Pm 0.0000 0.0000 0.0000  4 Au 3.04
Te 0.5000 0.5000 0.5000  4 Au 3.04
Au 0.2500 0.2500 0.2500  4 Te 3.04, 4 Pm 3.04

No. 8
This record from OQMD describes a relaxed CoNiBPt crystal. The functional is PBE-GGA.

Calculated values
The calculation puts the distance to the lowest polymorph of the same formula at 0.000 eV/atom. The calculation puts the mass density at 12.23 g/cm³. As for the total magnetization: 1.78 μB/f.u. The calculation puts the total energy at -6.109 eV/atom.

Lattice parameters (Å, degrees): 3.9601 3.9601 3.9601 60.00 60.00 60.00
With the nearest neighbours (Å) after each atom.
Element x y z (fractional)
Co 0.0000 0.0000 0.0000  4 B 2.43, 4 Ni 2.43
Ni 0.2500 0.2500 0.2500  4 Co 2.43, 4 Pt 2.43
B 0.7500 0.7500 0.7500  4 Co 2.43, 4 Pt 2.43
Pt 0.5000 0.5000 0.5000  4 Ni 2.43, 4 B 2.43

No. 9
This record from OQMD describes a relaxed BaMgAlZn2 crystal. The functional is PBE-GGA.

Calculated values
The calculation puts the mass density at 4.33 g/cm³. The calculation puts the total energy at -2.079 eV/atom.

Lattice parameters (Å, degrees): 6.5397 6.5397 6.5397 138.31 138.31 60.43
With the nearest neighbours (Å) after each atom.
Element x y z (fractional)
Ba 0.0000 0.0000 0.0000  8 Zn 3.55-3.77, 4 Mg 3.59, 4 Al 3.61
Mg 0.6270 0.6270 0.0000  4 Zn 2.79, 1 Al 2.92
Al 0.3686 0.3686 0.0000  4 Zn 2.62, 1 Mg 2.92
Zn 0.2627 0.7627 0.5000  2 Al 2.62, 2 Mg 2.79
Zn 0.7627 0.2627 0.5000  2 Al 2.62, 2 Mg 2.79

No. 10
This record from OQMD describes a relaxed GdErHg crystal. The functional is PBE-GGA.

Calculated values
The calculation puts the distance to the lowest polymorph of the same formula at 0.000 eV/atom. The calculation puts the mass density at 9.35 g/cm³. As for the total magnetization: 0.00 μB/f.u. The calculation puts the total energy at -3.284 eV/atom.

Lattice parameters (Å, degrees): 5.0898 5.0898 5.0898 60.00 60.00 60.00
With the nearest neighbours (Å) after each atom.
Element x y z (fractional)
Gd 0.0000 0.0000 0.0000  4 Hg 3.12
Er 0.5000 0.5000 0.5000  4 Hg 3.12
Hg 0.7500 0.7500 0.7500  4 Gd 3.12, 4 Er 3.12

No. 11
This record from OQMD describes a relaxed HoF crystal. The functional is PBE-GGA.

Calculated values
The calculation puts the distance to the lowest polymorph of the same formula at 0.328 eV/atom. The calculation puts the mass density at 9.65 g/cm³. As for the total magnetization: 0.20 μB/f.u. The calculation puts the total energy at -5.170 eV/atom.

Lattice parameters (Å, degrees): 3.5510 3.5510 3.5510 60.00 60.00 60.00
With the nearest neighbours (Å) after each atom.
Element x y z (fractional)
Ho 0.0000 0.0000 0.0000  6 F 2.51
F 0.5000 0.5000 0.5000  6 Ho 2.51

No. 12
This record from OQMD describes a relaxed ZrCuGeAs crystal. The functional is PBE-GGA.

Calculated values
The calculation puts the mass density at 7.43 g/cm³. As for the total magnetization: 0.01 μB/f.u. The calculation puts the total energy at -5.932 eV/atom.

Lattice parameters (Å, degrees): 3.8627 3.8627 9.0569 90.00 90.00 90.00
With the nearest neighbours (Å) after each atom.
Element x y z (fractional)
Zr 0.2500 0.2500 0.2349  4 Ge 2.86, 4 As 2.87, 4 Cu 3.08
Zr 0.7500 0.7500 0.7651  4 Ge 2.86, 4 As 2.87, 4 Cu 3.08
Cu 0.2500 0.7500 0.5000  4 Ge 2.49, 4 Cu 2.73
Cu 0.7500 0.2500 0.5000  4 Ge 2.49, 4 Cu 2.73
Ge 0.2500 0.2500 0.6733  4 Cu 2.49
Ge 0.7500 0.7500 0.3267  4 Cu 2.49
As 0.2500 0.7500 0.0000  4 As 2.73, 4 Zr 2.87
As 0.7500 0.2500 0.0000  4 As 2.73, 4 Zr 2.87

No. 13
This record from OQMD describes a relaxed YZrCoSb crystal. The functional is PBE-GGA.

Calculated values
The calculation puts the distance to the lowest polymorph of the same formula at 0.000 eV/atom. The calculation puts the mass density at 7.45 g/cm³. As for the total magnetization: 2.27 μB/f.u. The calculation puts the total energy at -6.468 eV/atom.

Lattice parameters (Å, degrees): 4.8453 4.8453 4.8453 60.00 60.00 60.00
With the nearest neighbours (Å) after each atom.
Element x y z (fractional)
Y 0.0000 0.0000 0.0000  4 Co 2.97, 4 Zr 2.97
Zr 0.2500 0.2500 0.2500  4 Sb 2.97, 4 Y 2.97
Co 0.7500 0.7500 0.7500  4 Sb 2.97, 4 Y 2.97
Sb 0.5000 0.5000 0.5000  4 Zr 2.97, 4 Co 2.97

No. 14
This record from OQMD describes a relaxed Nb4AlSiN2 crystal. The functional is PBE-GGA.

Calculated values
The calculation puts the mass density at 6.80 g/cm³. As for the total magnetization: 0.00 μB/f.u. The calculation puts the total energy at -8.935 eV/atom.

Lattice parameters (Å, degrees): 3.0430 3.0430 13.8516 90.00 90.00 120.00
With the nearest neighbours (Å) after each atom.
Element x y z (fractional)
Nb 0.0000 0.0000 0.1461  3 N 2.21
Nb 0.0000 0.0000 0.8539  3 N 2.21
Nb 0.6667 0.3333 0.3388  3 N 2.21
Nb 0.6667 0.3333 0.6612  3 N 2.21
Al 0.0000 0.0000 0.5000  6 Nb 2.84, 6 Al 3.04
Si 0.6667 0.3333 0.0000  6 Nb 2.68
N 0.3333 0.6667 0.2425  6 Nb 2.21
N 0.3333 0.6667 0.7575  6 Nb 2.21